A plane-wave DFT calculation with GGA-PBE was carried out for an optimized crystal structure of GeS3I.

Lattice parameters (Å, degrees): 4.787 4.787 4.787 90.00 90.00 90.00
Sites, in units of the cell vectors:
1 I 0.500 0.500 0.500
2 Ge 0.000 0.000 0.000
3 S 0.000 0.500 0.000
4 S 0.000 0.000 0.500
5 S 0.500 0.000 0.000

Output
uncorrected energy	-3.14	eV per atom
symmetry	Pm-3m (221)
E_form (uncorrected)	0.5741	eV/atom
total magnetic moment	0.00	μB per cell

=====

A plane-wave DFT calculation with GGA-PBE was carried out for an optimized crystal structure of Ti2BeNbH.

Lattice parameters (Å, degrees): 3.976 3.976 4.035 90.00 90.00 90.00
Sites, in units of the cell vectors:
1 Be 0.500 0.500 0.500
2 Nb 0.000 0.000 0.500
3 H 0.000 0.000 0.000
4 Ti 0.000 0.500 0.000
5 Ti 0.500 0.000 0.000

Output
uncorrected energy	-6.71	eV per atom
symmetry	P4/mmm (123)
total magnetic moment	0.00	μB per cell

=====

A plane-wave DFT calculation with GGA-PBE was carried out for an optimized crystal structure of Zr2Ti2Tl.

Lattice parameters (Å, degrees): 7.644 7.644 3.690 90.00 90.00 90.00
Sites, in units of the cell vectors:
1 Tl 0.000 0.000 0.000
2 Tl 0.500 0.500 0.000
3 Zr 0.364 0.864 0.000
4 Zr 0.864 0.636 0.000
5 Zr 0.636 0.136 0.000
6 Zr 0.136 0.364 0.000
7 Ti 0.160 0.660 0.500
8 Ti 0.660 0.840 0.500
9 Ti 0.840 0.340 0.500
10 Ti 0.340 0.160 0.500

Output
uncorrected energy	-6.84	eV per atom
symmetry	P4/mbm (127)
total magnetic moment	0.00	μB per cell
ΔE_f	1.1	eV/f.u.

=====

A plane-wave DFT calculation with GGA-PBE was carried out for an optimized crystal structure of Nd2CuS4.

Lattice parameters (Å, degrees): 6.801 5.678 8.043 90.00 107.17 90.00
Sites, in units of the cell vectors:
1 Nd 0.760 0.750 0.065
2 Nd 0.240 0.250 0.935
3 Nd 0.230 0.250 0.432
4 Nd 0.770 0.750 0.568
5 Cu 0.248 0.750 0.188
6 Cu 0.752 0.250 0.812
7 S 0.512 0.488 0.257
8 S 0.075 0.750 0.897
9 S 0.925 0.250 0.103
10 S 0.512 0.012 0.257
11 S 0.929 0.250 0.611
12 S 0.488 0.988 0.743
13 S 0.488 0.512 0.743
14 S 0.071 0.750 0.389

Output
uncorrected energy	-5.81	eV per atom
symmetry	P2_1/m (11)
E_form (uncorrected)	-1.5033	eV/atom
total magnetic moment	0.00	μB per cell